# TlTcB4 | OQMD | GGA-PBE | relaxed
data_TlTcB4
_cell_length_a 3.0725
_cell_length_b 5.3647
_cell_length_c 7.5399
_cell_angle_alpha 90.00
_cell_angle_beta 90.00
_cell_angle_gamma 90.00
_space_group_name_H-M_alt 'I m m m'
_space_group_IT_number 71
_space_group_name_Hall '-I 2 2'
loop_
_atom_site_label
_atom_site_fract_x
_atom_site_fract_y
_atom_site_fract_z
Tl1 0.0000 0.0000 0.0000
Tc1 0.0000 0.0000 0.5000
B1 0.0000 0.3380 0.2441
# ΔE to the lowest computed polymorph = 0.406 eV per atom
# total energy = -5.9355 eV per atom
# total magnetization = 0.000 μB per atom